Material: MoAs2Ru
Method: DFT, PBE-GGA
State: optimized geometry

a = 4.3684 Å, b = 4.3684 Å, c = 3.1073 Å
α = 90.00°, β = 90.00°, γ = 90.00°
Fractional coordinates of all 4 atoms:
Mo  0.0000  0.0000  0.0000
As  0.0000  0.5000  0.5000
As  0.5000  0.0000  0.5000
Ru  0.5000  0.5000  0.0000

electronic total energy	-7.44	eV per atom

Material: MoAs2Ru
Method: DFT, PBE-GGA
State: optimized geometry

a = 7.9679 Å, b = 7.9679 Å, c = 7.9679 Å
α = 21.93°, β = 21.93°, γ = 21.93°
Fractional coordinates of all 4 atoms:
Mo  0.0000  0.0000  0.0000
As  0.2476  0.2476  0.2476
As  0.7524  0.7524  0.7524
Ru  0.5000  0.5000  0.5000

electronic total energy	-7.27	eV per atom

Material: MoAs2Ru
Method: DFT, PBE-GGA
State: optimized geometry

a = 2.8736 Å, b = 2.8736 Å, c = 8.9612 Å
α = 90.00°, β = 90.00°, γ = 90.00°
Fractional coordinates of all 4 atoms:
Mo  0.0000  0.0000  0.0000
As  0.0000  0.0000  0.3849
As  0.5000  0.5000  0.7876
Ru  0.5000  0.5000  0.2026

electronic total energy	-7.41	eV per atom

Material: MoAs2Ru
Method: DFT, PBE-GGA
State: optimized geometry

a = 5.4572 Å, b = 5.4572 Å, c = 5.4572 Å
α = 147.17°, β = 134.64°, γ = 57.11°
Fractional coordinates of all 4 atoms:
Mo  0.0000  0.0000  0.0000
As  0.4833  0.4833  0.0000
As  0.7589  0.2589  0.5000
Ru  0.2699  0.7699  0.5000

electronic total energy	-7.30	eV per atom

Here are the calculated polymorph energy (0 for the lowest one) numbers, same order: 0.0 167.4 26.5 143.3 (meV/atom).
Here are the calculated density numbers, same order: 9.7 9.3 7.8 9.3 (Mg/m³).
Here are the calculated energy relative to the elements numbers, same order: -0.089 0.078 -0.062 0.054 (eV/atom).